Computed, not measured: a PBEsol-optimized structure of Pb5Au3 at the meta-GGA SCAN level of DFT.

```
Pb5Au3
1.0
-5.665 5.665 3.101
5.665 -5.665 3.101
5.665 5.665 -3.101
Pb Au
10 6
Direct
0.079 0.788 0.867
0.212 0.079 0.292
0.250 0.750 0.500
0.288 0.579 0.867
0.421 0.288 0.708
0.579 0.712 0.292
0.712 0.421 0.133
0.750 0.250 0.500
0.788 0.921 0.708
0.921 0.212 0.133
0.160 0.340 0.500
0.250 0.250 0.000
0.340 0.840 0.180
0.660 0.160 0.820
0.750 0.750 0.000
0.840 0.660 0.500
```

Calculated values
Formation enthalpy at 0 K in eV per atom: -0.038
Electronic total energy in eV/atom: -73.335
Magnetization in μB per atom: 0.000

Computed, not measured: a PBEsol-optimized structure of CaZrSi4 at the meta-GGA SCAN level of DFT.

```
CaZrSi4
1.0
0.000 3.648 3.648
3.648 0.000 3.648
3.648 3.648 0.000
Ca Zr Si
1 1 4
Direct
0.000 0.000 0.000
0.750 0.750 0.750
0.377 0.377 0.377
0.377 0.377 0.870
0.377 0.870 0.377
0.870 0.377 0.377
```

Calculated values
Electronic total energy in eV/atom: -13.471
Magnetization in μB per atom: 0.000
Formation energy (no corrections) in meV per atom: -67

Computed, not measured: a PBEsol-optimized structure of Sm2Ni7 at the meta-GGA SCAN level of DFT.

```
Sm2Ni7
1.0
4.894 0.000 0.000
-2.447 4.239 0.000
0.000 0.000 23.935
Sm Ni
8 28
Direct
0.333 0.667 0.029
0.333 0.667 0.174
0.333 0.667 0.326
0.333 0.667 0.471
0.667 0.333 0.529
0.667 0.333 0.674
0.667 0.333 0.826
0.667 0.333 0.971
0.000 0.000 0.000
0.000 0.000 0.168
0.000 0.000 0.332
0.000 0.000 0.500
0.000 0.000 0.668
0.000 0.000 0.832
0.167 0.333 0.587
0.167 0.333 0.913
0.167 0.334 0.750
0.167 0.833 0.587
0.167 0.833 0.750
0.167 0.833 0.913
0.333 0.167 0.087
0.333 0.167 0.413
0.333 0.667 0.668
0.333 0.667 0.832
0.334 0.167 0.250
0.666 0.833 0.750
0.667 0.333 0.168
0.667 0.333 0.332
0.667 0.833 0.587
0.667 0.833 0.913
0.833 0.167 0.087
0.833 0.167 0.250
0.833 0.167 0.413
0.833 0.666 0.250
0.833 0.667 0.087
0.833 0.667 0.413
```

Calculated values
Formation enthalpy at 0 K in eV per atom: -0.322
Electronic total energy in eV/atom: -22.777
Magnetization in μB per atom: 0.212

Computed, not measured: a PBEsol-optimized structure of ZrAsO3 at the meta-GGA SCAN level of DFT.

```
ZrAsO3
1.0
4.087 0.000 0.000
0.000 4.087 0.000
0.000 0.000 4.087
Zr As O
1 1 3
Direct
0.000 0.000 0.000
0.500 0.500 0.500
0.000 0.000 0.500
0.000 0.500 0.000
0.500 0.000 0.000
```

Calculated values
Electronic total energy in eV/atom: -15.699
Magnetization in μB per atom: 0.000
Formation energy (no corrections) in meV per atom: -1782

Computed, not measured: a PBEsol-optimized structure of Cs2V3O8 at the meta-GGA SCAN level of DFT.

```
Cs2V3O8
1.0
8.879 0.000 0.000
0.000 8.879 0.000
0.000 0.000 6.007
Cs V O
4 6 16
Direct
0.169 0.331 0.000
0.331 0.831 0.000
0.669 0.169 0.000
0.831 0.669 0.000
0.000 0.000 0.536
0.134 0.634 0.524
0.366 0.134 0.524
0.500 0.500 0.536
0.634 0.866 0.524
0.866 0.366 0.524
0.000 0.000 0.269
0.000 0.500 0.631
0.083 0.808 0.627
0.131 0.631 0.251
0.192 0.083 0.627
0.308 0.583 0.627
0.369 0.131 0.251
0.417 0.308 0.627
0.500 0.000 0.631
0.500 0.500 0.269
0.583 0.692 0.627
0.631 0.869 0.251
0.692 0.417 0.627
0.808 0.917 0.627
0.869 0.369 0.251
0.917 0.192 0.627
```

Calculated values
Electronic total energy in eV/atom: -16.292
Magnetization in μB per atom: 0.077
Formation energy (no corrections) in meV per atom: -2604

Computed, not measured: a PBEsol-optimized structure of YMoPb at the meta-GGA SCAN level of DFT.

```
YMoPb
1.0
3.411 0.000 0.000
-1.705 2.954 0.000
0.000 0.000 6.848
Y Mo Pb
1 1 1
Direct
0.000 0.000 0.000
0.333 0.667 0.685
0.667 0.333 0.386
```

Calculated values
Formation enthalpy at 0 K in eV per atom: 0.405
Electronic total energy in eV/atom: -45.765
Magnetization in μB per atom: 0.000

Computed, not measured: a PBEsol-optimized structure of Ti2Be2Ga at the meta-GGA SCAN level of DFT.

```
Ti2Be2Ga
1.0
5.896 0.000 0.000
0.000 5.896 0.000
0.000 0.000 3.631
Ti Be Ga
4 4 2
Direct
0.167 0.333 0.000
0.333 0.833 0.000
0.667 0.167 0.000
0.833 0.667 0.000
0.126 0.626 0.500
0.374 0.126 0.500
0.626 0.874 0.500
0.874 0.374 0.500
0.000 0.000 0.500
0.500 0.500 0.500
```

Calculated values
Formation enthalpy at 0 K in eV per atom: -0.377
Electronic total energy in eV/atom: -11.799
Magnetization in μB per atom: 0.000

Computed, not measured: a PBEsol-optimized structure of BeCo2Os at the meta-GGA SCAN level of DFT.

```
BeCo2Os
1.0
2.546 0.000 0.000
0.000 3.503 0.000
-0.011 0.000 4.767
Be Co Os
1 2 1
Direct
0.000 0.000 0.000
0.499 0.500 0.238
0.501 0.500 0.762
0.000 0.000 0.500
```

Calculated values
Formation enthalpy at 0 K in eV per atom: 0.102
Electronic total energy in eV/atom: -27.609
Magnetization in μB per atom: 0.000

Computed, not measured: a PBEsol-optimized structure of Ca at the meta-GGA SCAN level of DFT.

```
Ca
1.0
-2.158 2.158 2.158
2.158 -2.158 2.158
2.158 2.158 -2.158
Ca
1
Direct
0.000 0.000 0.000
```

Calculated values
Formation enthalpy at 0 K in eV per atom: 0.038
Electronic total energy in eV/atom: -9.625
Magnetization in μB per atom: 0.248

Computed, not measured: a PBEsol-optimized structure of TaHRh2 at the meta-GGA SCAN level of DFT.

```
TaHRh2
1.0
0.000 2.951 2.951
2.951 0.000 2.951
2.951 2.951 0.000
Ta H Rh
1 1 2
Direct
0.000 0.000 0.000
0.500 0.500 0.500
0.250 0.250 0.250
0.750 0.750 0.750
```

Calculated values
Electronic total energy in eV/atom: -34.406
Magnetization in μB per atom: 0.000

Computed, not measured: a PBEsol-optimized structure of LiMg16Al12 at the meta-GGA SCAN level of DFT.

```
LiMg16Al12
1.0
7.368 4.254 3.011
-7.368 4.254 3.011
0.000 -8.508 3.011
Li Mg Al
1 16 12
Direct
0.000 0.000 0.000
0.070 0.354 0.670
0.070 0.670 0.354
0.266 0.266 0.957
0.266 0.957 0.266
0.325 0.670 0.670
0.354 0.070 0.670
0.354 0.670 0.070
0.386 0.986 0.986
0.670 0.070 0.354
0.670 0.325 0.670
0.670 0.354 0.070
0.670 0.670 0.325
0.673 0.673 0.673
0.957 0.266 0.266
0.986 0.386 0.986
0.986 0.986 0.386
0.037 0.670 0.855
0.037 0.855 0.670
0.305 0.305 0.491
0.305 0.491 0.305
0.483 0.483 0.854
0.483 0.854 0.483
0.491 0.305 0.305
0.670 0.037 0.855
0.670 0.855 0.037
0.854 0.483 0.483
0.855 0.037 0.670
0.855 0.670 0.037
```

Calculated values
Formation enthalpy at 0 K in eV per atom: -0.030
Electronic total energy in eV/atom: -6.065
Magnetization in μB per atom: 0.000

Computed, not measured: a PBEsol-optimized structure of LaMg2Cr at the meta-GGA SCAN level of DFT.

```
LaMg2Cr
1.0
4.196 0.000 0.000
0.000 4.472 0.000
0.000 0.000 5.148
La Mg Cr
1 2 1
Direct
0.000 0.000 0.000
0.000 0.500 0.500
0.500 0.000 0.500
0.500 0.500 0.000
```

Calculated values
Formation enthalpy at 0 K in eV per atom: 0.135
Electronic total energy in eV/atom: -17.724
Magnetization in μB per atom: 1.053